No. 1
This record from Alexandria describes a relaxed LiAsPBr2 crystal. The functional is PBE.

Cell: 4.6392 4.6392 5.3148 Å, 90.00 90.00 90.00°
Last column: nearest neighbours and their distance in Å.
Space group P4/mmm (No. 123)
Asymmetric unit:
Li: 0.0000 0.0000 0.0000 (multiplicity 1)  4 Br 2.32
As: 0.0000 0.0000 0.5000 (multiplicity 1)  2 Li 2.66
P: 0.5000 0.5000 0.5000 (multiplicity 1)  4 As 3.28, 8 Br 3.53
Br: 0.0000 0.5000 0.0000 (multiplicity 2)  2 Li 2.32

Results
Relative energy among the computed polymorphs   468 meV per atom

No. 2
This record from Alexandria describes a relaxed LiAsPBr2 crystal. The functional is PBE.

Cell: 5.4374 5.4374 4.7284 Å, 90.00 90.00 90.00°
Last column: nearest neighbours and their distance in Å.
Space group P4/mmm (No. 123)
Asymmetric unit:
Li: 0.0000 0.0000 0.0000 (multiplicity 1)  8 Br 3.60, 4 As 3.84
As: 0.5000 0.5000 0.0000 (multiplicity 1)  2 P 2.36
P: 0.5000 0.5000 0.5000 (multiplicity 1)  2 As 2.36
Br: 0.0000 0.5000 0.5000 (multiplicity 2)  2 P 2.72

Results
Relative energy among the computed polymorphs   0 meV per atom

No. 3
This record from Alexandria describes a relaxed LiAsPb2Br crystal. The functional is PBE.

Cell: 5.7384 5.7384 5.2852 Å, 90.00 90.00 90.00°
Last column: nearest neighbours and their distance in Å.
Space group P4/mmm (No. 123)
Asymmetric unit:
Li: 0.0000 0.0000 0.0000 (multiplicity 1)  8 Pb 3.90, 4 As 4.06
As: 0.5000 0.5000 0.0000 (multiplicity 1)  2 Br 2.64
Pb: 0.0000 0.5000 0.5000 (multiplicity 2)  2 Br 2.87
Br: 0.5000 0.5000 0.5000 (multiplicity 1)  2 As 2.64, 4 Pb 2.87

Results
Uncorrected energy   -2.65 eV/atom

No. 4
This record from Alexandria describes a relaxed LiAs2PbBr crystal. The functional is PBE.

Cell: 4.6657 4.6657 5.5110 Å, 90.00 90.00 90.00°
Last column: nearest neighbours and their distance in Å.
Space group P4/mmm (No. 123)
Asymmetric unit:
Li: 0.0000 0.0000 0.0000 (multiplicity 1)  4 As 2.33
As: 0.0000 0.5000 0.0000 (multiplicity 2)  2 Li 2.33
Pb: 0.5000 0.5000 0.5000 (multiplicity 1)  4 Br 3.30, 8 As 3.61
Br: 0.0000 0.0000 0.5000 (multiplicity 1)  2 Li 2.76

Results
Relative energy among the computed polymorphs   0 meV per atom

No. 5
This record from Alexandria describes a relaxed LiAsPtBr2 crystal. The functional is PBE.

Cell: 5.5124 5.5124 4.6765 Å, 90.00 90.00 90.00°
Last column: nearest neighbours and their distance in Å.
Space group P4/mmm (No. 123)
Asymmetric unit:
Li: 0.0000 0.0000 0.0000 (multiplicity 1)  8 Br 3.61, 4 As 3.90
As: 0.5000 0.5000 0.0000 (multiplicity 1)  2 Pt 2.34
Pt: 0.5000 0.5000 0.5000 (multiplicity 1)  2 As 2.34
Br: 0.0000 0.5000 0.5000 (multiplicity 2)  2 Pt 2.76

Results
Relative energy among the computed polymorphs   0 meV per atom

No. 6
This record from Alexandria describes a relaxed RbLi2AsBr6 crystal. The functional is PBE.

Cell: 6.8376 6.8394 9.1748 Å, 68.17 68.18 60.01°
Last column: nearest neighbours and their distance in Å.
Space group P-1 (No. 2)
Asymmetric unit:
Rb: 0.0000 0.0000 0.0000 (multiplicity 1)  6 Br 3.51
Li: 0.1690 0.1694 0.4929 (multiplicity 2)  6 Br 2.72-2.81
As: 0.5000 0.5000 0.5000 (multiplicity 1)  6 Br 2.68
Br: 0.1143 0.7616 0.6827 (multiplicity 2)  1 As 2.68, 2 Li 2.72-2.81
Br: 0.2383 0.5584 0.3172 (multiplicity 2)  1 As 2.68, 2 Li 2.72-2.81
Br: 0.4416 0.1142 0.6828 (multiplicity 2)  1 As 2.68, 2 Li 2.72-2.81

Results
Uncorrected energy   -3.09 eV/atom

No. 7
This record from Alexandria describes a relaxed RbLiAsBr2 crystal. The functional is PBE.

Cell: 5.4585 5.4585 5.3400 Å, 90.00 90.00 90.00°
Last column: nearest neighbours and their distance in Å.
Space group P4/mmm (No. 123)
Asymmetric unit:
Rb: 0.0000 0.0000 0.0000 (multiplicity 1)  8 Br 3.82, 4 As 3.86
Li: 0.5000 0.5000 0.5000 (multiplicity 1)  2 As 2.67, 4 Br 2.73
As: 0.5000 0.5000 0.0000 (multiplicity 1)  2 Li 2.67
Br: 0.0000 0.5000 0.5000 (multiplicity 2)  2 Li 2.73

Results
Relative energy among the computed polymorphs   0 meV per atom

No. 8
This record from Alexandria describes a relaxed RbLiAsBr2 crystal. The functional is PBE.

Cell: 6.4886 6.4886 6.4176 Å, 90.00 90.00 90.00°
Last column: nearest neighbours and their distance in Å.
Space group P4/mmm (No. 123)
Asymmetric unit:
Rb: 0.0000 0.0000 0.0000 (multiplicity 1)  2 As 3.21, 4 Br 3.24
Li: 0.5000 0.5000 0.5000 (multiplicity 1)  8 Br 4.56, 4 As 4.59
As: 0.0000 0.0000 0.5000 (multiplicity 1)  2 Rb 3.21
Br: 0.0000 0.5000 0.0000 (multiplicity 2)  2 Rb 3.24

Results
Relative energy among the computed polymorphs   537 meV per atom

No. 9
This record from Alexandria describes a relaxed LiReAsBr2 crystal. The functional is PBE.

Cell: 4.4982 4.4982 6.2027 Å, 90.00 90.00 90.00°
Last column: nearest neighbours and their distance in Å.
Space group P4/mmm (No. 123)
Asymmetric unit:
Li: 0.0000 0.0000 0.0000 (multiplicity 1)  4 Br 2.25
Re: 0.5000 0.5000 0.5000 (multiplicity 1)  4 As 3.18
As: 0.0000 0.0000 0.5000 (multiplicity 1)  2 Li 3.10, 4 Re 3.18
Br: 0.0000 0.5000 0.0000 (multiplicity 2)  2 Li 2.25

Results
Relative energy among the computed polymorphs   754 meV per atom

No. 10
This record from Alexandria describes a relaxed LiRe2AsBr crystal. The functional is PBE.

Cell: 4.6932 4.6932 5.3287 Å, 90.00 90.00 90.00°
Last column: nearest neighbours and their distance in Å.
Space group P4/mmm (No. 123)
Asymmetric unit:
Li: 0.0000 0.0000 0.0000 (multiplicity 1)  2 As 2.66
Re: 0.0000 0.5000 0.5000 (multiplicity 2)  2 As 2.35
As: 0.0000 0.0000 0.5000 (multiplicity 1)  4 Re 2.35
Br: 0.5000 0.5000 0.0000 (multiplicity 1)  4 Li 3.32, 8 Re 3.55

Results
Uncorrected energy   -5.35 eV/atom

No. 11
This record from Alexandria describes a relaxed LiReAsBr2 crystal. The functional is PBE.

Cell: 5.4153 5.4153 4.7318 Å, 90.00 90.00 90.00°
Last column: nearest neighbours and their distance in Å.
Space group P4/mmm (No. 123)
Asymmetric unit:
Li: 0.0000 0.0000 0.0000 (multiplicity 1)  8 Br 3.60, 4 As 3.83
Re: 0.5000 0.5000 0.5000 (multiplicity 1)  2 As 2.37
As: 0.5000 0.5000 0.0000 (multiplicity 1)  2 Re 2.37
Br: 0.0000 0.5000 0.5000 (multiplicity 2)  2 Re 2.71

Results
Relative energy among the computed polymorphs   0 meV per atom

No. 12
This record from Alexandria describes a relaxed LiAs2RhBr crystal. The functional is PBE.

Cell: 4.6705 4.6705 6.0790 Å, 90.00 90.00 90.00°
Last column: nearest neighbours and their distance in Å.
Space group P4/mmm (No. 123)
Asymmetric unit:
Li: 0.0000 0.0000 0.0000 (multiplicity 1)  4 Br 3.30
As: 0.0000 0.5000 0.5000 (multiplicity 2)  2 Rh 2.34
Rh: 0.5000 0.5000 0.5000 (multiplicity 1)  4 As 2.34
Br: 0.5000 0.5000 0.0000 (multiplicity 1)  2 Rh 3.04, 4 Li 3.30

Results
Relative energy among the computed polymorphs   0 meV per atom

No. 13
This record from Alexandria describes a relaxed LiAsRhBr2 crystal. The functional is PBE.

Cell: 5.4180 5.4180 4.5910 Å, 90.00 90.00 90.00°
Last column: nearest neighbours and their distance in Å.
Space group P4/mmm (No. 123)
Asymmetric unit:
Li: 0.0000 0.0000 0.0000 (multiplicity 1)  8 Br 3.55, 4 As 3.83
As: 0.5000 0.5000 0.0000 (multiplicity 1)  2 Rh 2.30
Rh: 0.5000 0.5000 0.5000 (multiplicity 1)  2 As 2.30
Br: 0.0000 0.5000 0.5000 (multiplicity 2)  2 Rh 2.71

Results
Relative energy among the computed polymorphs   0 meV per atom

No. 14
This record from Alexandria describes a relaxed LiAsSBr2 crystal. The functional is PBE.

Cell: 4.3967 4.3967 9.2394 Å, 90.00 90.00 90.00°
Last column: nearest neighbours and their distance in Å.
Space group P4/mmm (No. 123)
Asymmetric unit:
Li: 0.0000 0.0000 0.0000 (multiplicity 1)  4 Br 2.20
As: 0.0000 0.0000 0.5000 (multiplicity 1)  4 S 3.11
S: 0.5000 0.5000 0.5000 (multiplicity 1)  4 As 3.11
Br: 0.0000 0.5000 0.0000 (multiplicity 2)  2 Li 2.20

Results
Relative energy among the computed polymorphs   187 meV per atom

No. 15
This record from Alexandria describes a relaxed LiAsSBr2 crystal. The functional is PBE.

Cell: 5.6358 5.6358 4.6917 Å, 90.00 90.00 90.00°
Last column: nearest neighbours and their distance in Å.
Space group P4/mmm (No. 123)
Asymmetric unit:
Li: 0.0000 0.0000 0.0000 (multiplicity 1)  8 Br 3.67, 4 As 3.99
As: 0.5000 0.5000 0.0000 (multiplicity 1)  2 S 2.35
S: 0.5000 0.5000 0.5000 (multiplicity 1)  2 As 2.35
Br: 0.0000 0.5000 0.5000 (multiplicity 2)  2 S 2.82

Results
Relative energy among the computed polymorphs   0 meV per atom